Entry 1:
# Hf4AsPbN2

A relaxed Hf4AsPbN2 crystal (PBE-GGA, the Open Quantum Materials Database).

As for the total energy: -9.181 eV/atom. Its total moment is 0.00 μB/atom.

It has space group P-6m2 (No. 187), with a = 3.3539 Å, b = 3.3539 Å, c = 13.4289 Å, α = 90.00°, β = 90.00° and γ = 120.00°. The inequivalent atoms are Hf at (0.0000, 0.0000, 0.1405), Hf at (0.6667, 0.3333, 0.3185), As at (0.6667, 0.3333, 0.0000), Pb at (0.0000, 0.0000, 0.5000) and N at (0.3333, 0.6667, 0.2309).

Entry 2:
# Hf4Sc2As3N3

A relaxed Hf4Sc2As3N3 crystal (PBE-GGA, the Open Quantum Materials Database).

As for the total energy: -8.968 eV/atom. Its total moment is 0.00 μB/atom.

It has space group C2/c (No. 15), with a = 10.153 Å, b = 5.866 Å, c = 12.783 Å, α = 90.00°, β = 105.39° and γ = 90.00°. The inequivalent atoms are Hf at (0.116, 0.087, 0.097), Hf at (0.219, 0.082, 0.403), Sc at (0.049, 0.418, 0.902), As at (0.000, 0.086, 0.750), As at (0.165, 0.419, 0.251), N at (0.085, 0.246, 0.500) and N at (0.250, 0.250, 0.000).

Entry 3:
# Hf2Ta4As3N3

A relaxed Hf2Ta4As3N3 crystal (PBE-GGA, the Open Quantum Materials Database).

As for the total energy: -9.703 eV/atom. Its total moment is 0.00 μB/atom.

It has space group C2/c (No. 15), with a = 10.011 Å, b = 5.807 Å, c = 12.409 Å, α = 90.00°, β = 105.43° and γ = 90.00°. The inequivalent atoms are Hf at (0.054, 0.086, 0.399), Ta at (0.114, 0.429, 0.589), Ta at (0.214, 0.409, 0.911), As at (0.000, 0.433, 0.250), As at (0.175, 0.093, 0.748), N at (0.077, 0.232, 0.000) and N at (0.250, 0.250, 0.500).